A relaxed structure of NdCu3Sn2. Source: Alexandria via LeMat-Bulk, functional PBE.

Cell lengths 8.437, 8.437, 7.529 Å; angles 115.10, 115.10, 30.21 degrees
Fractional coordinates of all 12 atoms:
Nd: 0.149 0.149 0.094
Nd: 0.851 0.851 0.906
Cu: 0.001 0.001 0.660
Cu: 0.300 0.300 0.525
Cu: 0.413 0.413 0.368
Cu: 0.587 0.587 0.632
Cu: 0.700 0.700 0.475
Cu: 0.999 0.999 0.340
Sn: 0.186 0.186 0.687
Sn: 0.471 0.471 0.792
Sn: 0.529 0.529 0.208
Sn: 0.814 0.814 0.313

Computed properties:
- Space group: C2/m
- Final energy: -4.464 eV per atom